# Ta2Mn2Os (PBE, optimized geometry)
data_Ta2Mn2Os
_chemical_formula_sum 'Ta4 Mn4 Os2'
_cell_length_a 6.706
_cell_length_b 6.706
_cell_length_c 3.261
_cell_angle_alpha 90.00
_cell_angle_beta 90.00
_cell_angle_gamma 90.00
_symmetry_space_group_name_H-M 'P 1'
_symmetry_Int_Tables_number 1
loop_
_symmetry_equiv_pos_as_xyz
'x,y,z'
loop_
_atom_site_label
_atom_site_type_symbol
_atom_site_fract_x
_atom_site_fract_y
_atom_site_fract_z
Mn1 Mn 0.893 0.607 0.000
Mn2 Mn 0.107 0.393 0.000
Os1 Os 0.000 0.000 0.000
Ta1 Ta 0.808 0.308 0.500
Mn3 Mn 0.607 0.107 0.000
Os2 Os 0.500 0.500 0.000
Ta2 Ta 0.192 0.692 0.500
Ta3 Ta 0.692 0.808 0.500
Mn4 Mn 0.393 0.893 0.000
Ta4 Ta 0.308 0.192 0.500
# Energy above the lowest structure with this stoichiometry in meV per atom: 0
# Energy of formation in eV per atom: 0.04
# Total DFT energy (no corrections) in eV/atom: -10.614
# Calculated volume in Å³ per atom: 14.66